Tb5YCd | PBE | optimized geometry

Computed properties:
ρ = 7.6 g/cm³
Energy relative to the elements = 16 meV per atom
N(E_F) = 38.0 states/eV/cell

a b c (Å): 11.327 12.716 6.378
angles (deg): 90.00 109.54 90.00
Space group C2/c (No. 15)
One atom of each set of equivalent atoms:
Tb  0.000  0.220  0.250 x4
Tb  0.167  0.323  0.811 x8
Tb  0.240  0.418  0.378 x8
Y  0.000  0.071  0.750 x4
Cd  0.000  0.500  0.000 x4